No. 1
{"formula": "SrHfTaIr2", "functional": "GGA-PBE", "state": "optimized geometry", "lattice": [[4.514, 0.000, 0.000], [0.000, 4.514, 0.000], [0.000, 0.000, 10.899]], "species": ["Sr", "Sr", "Hf", "Hf", "Ta", "Ta", "Ir", "Ir", "Ir", "Ir"], "frac_coords": [[0.000, 0.000, 0.000], [0.500, 0.500, 0.500], [0.000, 0.500, 0.250], [0.500, 0.000, 0.750], [0.000, 0.500, 0.750], [0.500, 0.000, 0.250], [0.000, 0.000, 0.376], [0.000, 0.000, 0.624], [0.500, 0.500, 0.124], [0.500, 0.500, 0.876]], "space_group": "No. 119", "total_energy_ha_per_atom": -0.3251, "total_magnetization_mub_per_atom": 0.000, "mass_density_g_cm3": 12.4}

---

No. 2
{"formula": "ReTe2PI", "functional": "GGA-PBE", "state": "optimized geometry", "lattice": [[5.131, 0.000, 0.000], [0.000, 5.131, 0.000], [0.000, 0.000, 5.532]], "species": ["Re", "Te", "Te", "P", "I"], "frac_coords": [[0.000, 0.000, 0.000], [0.000, 0.500, 0.000], [0.500, 0.000, 0.000], [0.500, 0.500, 0.500], [0.000, 0.000, 0.500]], "space_group": "No. 123", "total_energy_ha_per_atom": -0.1486, "formation_energy_uncorrected_ev_per_atom": 1.095, "de_polymorph_kj_per_mol_atoms": 0.0, "total_magnetization_mub_per_atom": 0.000, "mass_density_g_cm3": 6.8}

---

No. 3
{"formula": "Pm2TlSi", "functional": "GGA-PBE", "state": "optimized geometry", "lattice": [[3.874, 0.000, 0.000], [0.000, 3.874, 0.000], [0.000, 0.000, 6.963]], "species": ["Pm", "Pm", "Tl", "Si"], "frac_coords": [[0.000, 0.000, 0.219], [0.000, 0.000, 0.781], [0.500, 0.500, 0.500], [0.500, 0.500, 0.000]], "space_group": "No. 123", "total_energy_ha_per_atom": -0.1743, "formation_energy_uncorrected_ev_per_atom": -0.420, "total_magnetization_mub_per_atom": 0.000, "mass_density_g_cm3": 8.3}

---

No. 4
{"formula": "SnBPb2", "functional": "GGA-PBE", "state": "optimized geometry", "lattice": [[7.403, 0.000, 0.000], [0.000, 7.403, 0.000], [0.000, 0.000, 7.403]], "species": ["Sn", "Sn", "Sn", "Sn", "B", "B", "B", "B", "Pb", "Pb", "Pb", "Pb", "Pb", "Pb", "Pb", "Pb"], "frac_coords": [[0.000, 0.000, 0.000], [0.000, 0.500, 0.500], [0.500, 0.000, 0.500], [0.500, 0.500, 0.000], [0.000, 0.000, 0.500], [0.000, 0.500, 0.000], [0.500, 0.000, 0.000], [0.500, 0.500, 0.500], [0.250, 0.250, 0.250], [0.250, 0.250, 0.750], [0.250, 0.750, 0.250], [0.250, 0.750, 0.750], [0.750, 0.250, 0.250], [0.750, 0.250, 0.750], [0.750, 0.750, 0.250], [0.750, 0.750, 0.750]], "space_group": "No. 225", "total_energy_ha_per_atom": -0.1305, "de_polymorph_kj_per_mol_atoms": 31.1, "total_magnetization_mub_per_atom": 0.000, "mass_density_g_cm3": 8.9}

---

No. 5
{"formula": "Rb2YPtO4", "functional": "GGA-PBE", "state": "optimized geometry", "lattice": [[0.000, 7.208, 11.784], [3.081, 0.000, 11.784], [3.081, 7.208, 0.000]], "species": ["Rb", "Rb", "Rb", "Rb", "Y", "Y", "Pt", "Pt", "O", "O", "O", "O", "O", "O", "O", "O"], "frac_coords": [[0.065, 0.065, 0.685], [0.315, 0.315, 0.935], [0.685, 0.685, 0.065], [0.935, 0.935, 0.315], [0.125, 0.125, 0.125], [0.875, 0.875, 0.875], [0.375, 0.375, 0.375], [0.625, 0.625, 0.625], [0.042, 0.705, 0.512], [0.241, 0.512, 0.705], [0.295, 0.958, 0.759], [0.488, 0.759, 0.958], [0.512, 0.241, 0.042], [0.705, 0.042, 0.241], [0.759, 0.488, 0.295], [0.958, 0.295, 0.488]], "space_group": "No. 70", "total_energy_ha_per_atom": -0.2092, "formation_energy_uncorrected_ev_per_atom": -1.409, "total_magnetization_mub_per_atom": 0.134, "mass_density_g_cm3": 3.3}

---

No. 6
{"formula": "NdTmCuPb", "functional": "GGA-PBE", "state": "optimized geometry", "lattice": [[7.436, 0.000, 0.000], [0.000, 7.436, 0.000], [0.000, 0.000, 7.436]], "species": ["Nd", "Nd", "Nd", "Nd", "Tm", "Tm", "Tm", "Tm", "Cu", "Cu", "Cu", "Cu", "Pb", "Pb", "Pb", "Pb"], "frac_coords": [[0.000, 0.000, 0.000], [0.000, 0.500, 0.500], [0.500, 0.000, 0.500], [0.500, 0.500, 0.000], [0.000, 0.000, 0.500], [0.000, 0.500, 0.000], [0.500, 0.000, 0.000], [0.500, 0.500, 0.500], [0.250, 0.250, 0.250], [0.250, 0.750, 0.750], [0.750, 0.250, 0.750], [0.750, 0.750, 0.250], [0.250, 0.250, 0.750], [0.250, 0.750, 0.250], [0.750, 0.250, 0.250], [0.750, 0.750, 0.750]], "space_group": "No. 216", "total_energy_ha_per_atom": -0.1668, "total_magnetization_mub_per_atom": 0.000, "mass_density_g_cm3": 9.4}

---

Copy entry 1 word for word.
{"formula": "SrHfTaIr2", "functional": "GGA-PBE", "state": "optimized geometry", "lattice": [[4.514, 0.000, 0.000], [0.000, 4.514, 0.000], [0.000, 0.000, 10.899]], "species": ["Sr", "Sr", "Hf", "Hf", "Ta", "Ta", "Ir", "Ir", "Ir", "Ir"], "frac_coords": [[0.000, 0.000, 0.000], [0.500, 0.500, 0.500], [0.000, 0.500, 0.250], [0.500, 0.000, 0.750], [0.000, 0.500, 0.750], [0.500, 0.000, 0.250], [0.000, 0.000, 0.376], [0.000, 0.000, 0.624], [0.500, 0.500, 0.124], [0.500, 0.500, 0.876]], "space_group": "No. 119", "total_energy_ha_per_atom": -0.3251, "total_magnetization_mub_per_atom": 0.000, "mass_density_g_cm3": 12.4}